[1]
Here is crystalline GdY2Al3AgIr2 at its relaxed geometry from the Open Quantum Materials Database. Energies are from PBE.

Output
- VASP energy: -6.19 eV per atom

Unit cell a=4.1582 b=12.2361 c=7.0796 alpha=90.00 beta=90.00 gamma=90.00
With the nearest neighbours (Å) after each atom.
Space group Amm2 (No. 38)
One atom of each set of equivalent atoms:
1 Gd 0.0000 0.0000 0.0000 [2 per cell]  4 Ir 2.96, 1 Ag 2.99, 2 Al 3.11
2 Y 0.0000 0.2105 0.3679 [4 per cell]  4 Ir 2.97, 1 Ag 2.98, 6 Al 3.10-3.32
3 Al 0.5000 0.0000 0.3265 [2 per cell]  2 Ir 2.69, 2 Ag 2.74
4 Al 0.5000 0.1277 0.7038 [4 per cell]  2 Ir 2.68-2.69, 2 Ag 2.75
5 Ag 0.0000 0.0000 0.5783 [2 per cell]  6 Al 2.74-2.75, 2 Y 2.98, 1 Gd 2.99
6 Ir 0.5000 0.1660 0.0775 [4 per cell]  3 Al 2.68-2.69, 2 Gd 2.96, 4 Y 2.97

[2]
Here is crystalline Sc2Ga3SnPt2 at its relaxed geometry from the Open Quantum Materials Database. Energies are from PBE.

Output
- VASP energy: -5.55 eV per atom

Unit cell a=9.9960 b=4.3031 c=6.7607 alpha=90.00 beta=90.70 gamma=90.00
With the nearest neighbours (Å) after each atom.
Space group Cm (No. 8)
One atom of each set of equivalent atoms:
1 Sc 0.0000 0.0000 0.0000 [2 per cell]  3 Pt 2.79-3.08, 2 Ga 2.85, 2 Sn 3.06
2 Sc 0.1641 0.0000 0.5302 [2 per cell]  3 Pt 2.90-3.00, 5 Ga 2.94-3.15
3 Ga 0.2059 0.5000 0.8210 [2 per cell]  3 Pt 2.57-2.62, 2 Ga 2.62-2.71
4 Ga 0.2225 0.5000 0.2217 [2 per cell]  3 Pt 2.59-2.63, 1 Ga 2.71, 1 Sn 2.72
5 Ga 0.4505 0.0000 0.7314 [2 per cell]  3 Pt 2.58-2.64, 1 Ga 2.62, 1 Sn 2.82, 2 Sc 2.85
6 Sn 0.4590 0.0000 0.3153 [2 per cell]  3 Pt 2.70-2.76, 2 Ga 2.72-2.82
7 Pt 0.2793 0.0000 0.0140 [2 per cell]  5 Ga 2.58-2.63, 1 Sn 2.70, 1 Sc 2.79
8 Pt 0.3736 0.5000 0.5350 [2 per cell]  4 Ga 2.57-2.64, 2 Sn 2.76

[3]
Here is crystalline CsSiPd at its relaxed geometry from the Open Quantum Materials Database. Energies are from PBE.

Output
- VASP energy: -2.91 eV per atom

Unit cell a=7.1046 b=7.1046 c=7.1046 alpha=90.00 beta=90.00 gamma=90.00
With the nearest neighbours (Å) after each atom.
Space group F-43m (No. 216)
One atom of each set of equivalent atoms:
1 Cs 0.0000 0.0000 0.0000 [4 per cell]  4 Si 3.08
2 Si 0.2500 0.2500 0.2500 [4 per cell]  4 Cs 3.08, 4 Pd 3.08
3 Pd 0.0000 0.0000 0.5000 [4 per cell]  4 Si 3.08

- What is the VASP energy in the second record?
  -5.55 eV per atom